A plane-wave DFT calculation with PBE was carried out for a geometry-optimized K3HfTe structure.

energy relative to the elements, uncorrected = 0.967 eV/atom

Cell and atoms, written as extended XYZ:
```
5
Lattice="6.422 0.000 0.000 0.000 6.422 0.000 0.000 0.000 6.422" Properties=species:S:1:pos:R:3 pbc="T T T"
Te 3.211 3.211 3.211
K 0.000 3.211 0.000
K 0.000 0.000 3.211
Hf 0.000 0.000 0.000
K 3.211 0.000 0.000
```



A plane-wave DFT calculation with PBE was carried out for a geometry-optimized KHf3Te structure.

energy relative to the elements, uncorrected = 0.992 eV/atom

Cell and atoms, written as extended XYZ:
```
5
Lattice="-1.527 -3.584 3.732 5.075 -1.797 0.350 1.011 3.610 3.880" Properties=species:S:1:pos:R:3 pbc="T T T"
Hf 2.537 -0.899 0.175
Hf -0.763 -1.792 1.866
Hf 0.505 1.805 1.940
Te 0.000 0.000 0.000
K 2.279 -0.885 3.981
```



A plane-wave DFT calculation with PBE was carried out for a geometry-optimized K3HfTi2Te6 structure.

energy relative to the elements, uncorrected = -0.864 eV/atom

Cell and atoms, written as extended XYZ:
```
12
Lattice="7.215 0.015 0.008 -3.593 6.257 0.008 -1.199 -2.077 8.247" Properties=species:S:1:pos:R:3 pbc="T T T"
K 1.212 2.098 4.131
K -2.364 4.163 4.131
Ti 0.139 4.102 0.008
Te 0.007 0.013 6.579
K 4.787 0.033 4.131
Ti 3.484 2.170 0.008
Te 3.653 2.084 6.683
Te 2.444 -0.010 1.580
Te -0.021 4.206 6.683
Te 2.416 4.183 1.683
Hf 0.000 0.000 0.000
Te -1.230 2.112 1.580
```



A plane-wave DFT calculation with PBE was carried out for a geometry-optimized K2Hf2TiTe6 structure.

energy relative to the elements, uncorrected = -0.890 eV/atom

Cell and atoms, written as extended XYZ:
```
11
Lattice="7.033 -0.022 0.048 -3.495 6.103 0.048 -1.271 -2.185 8.554" Properties=species:S:1:pos:R:3 pbc="T T T"
Te 1.649 -1.098 5.994
Te 1.718 2.954 6.023
Hf 2.910 0.915 4.325
Ti -0.636 -1.093 4.277
Te 4.037 3.006 2.655
Te -1.770 0.891 5.994
Te 0.549 0.943 2.627
Te 0.618 4.995 2.655
K 5.268 1.005 0.048
Hf -0.643 2.982 4.325
K -1.730 5.076 0.048
```



A plane-wave DFT calculation with PBE was carried out for a geometry-optimized KHfTlTe2 structure.

energy relative to the elements, uncorrected = -0.456 eV/atom

Cell and atoms, written as extended XYZ:
```
5
Lattice="-4.003 1.508 3.732 1.798 -4.057 3.568 3.604 3.687 2.376" Properties=species:S:1:pos:R:3 pbc="T T T"
Te -2.002 0.754 1.866
K 0.699 0.569 4.838
Tl 0.899 -2.029 1.784
Te 1.802 1.843 1.188
Hf 0.000 0.000 0.000
```



A plane-wave DFT calculation with PBE was carried out for a geometry-optimized KHf2TlTe structure.

energy relative to the elements, uncorrected = 0.738 eV/atom

Cell and atoms, written as extended XYZ:
```
5
Lattice="5.358 0.000 0.000 0.000 6.037 0.000 0.000 0.000 5.358" Properties=species:S:1:pos:R:3 pbc="T T T"
Te 0.000 0.000 0.000
Tl 2.679 3.019 2.679
K 0.000 3.019 0.000
Hf 2.679 0.000 0.000
Hf 0.000 0.000 2.679
```



A plane-wave DFT calculation with PBE was carried out for a geometry-optimized K2Tm2HfTe6 structure.

energy relative to the elements, uncorrected = -1.212 eV/atom

Cell and atoms, written as extended XYZ:
```
11
Lattice="-0.989 -0.628 -7.346 -5.039 -2.865 4.662 -2.144 8.530 0.866" Properties=species:S:1:pos:R:3 pbc="T T T"
Tm -4.766 2.143 1.109
Te -2.258 5.540 -1.918
K -4.350 -2.484 2.620
Te -3.543 4.830 1.893
Te -2.161 1.678 -0.416
K -1.678 -1.009 -5.303
Te -6.011 3.360 -1.401
Hf -1.072 4.265 0.433
Te -5.914 -0.502 0.101
Te -4.628 0.208 -3.711
Tm -3.405 2.895 -2.926
```



A plane-wave DFT calculation with PBE was carried out for a geometry-optimized K2HfUTe4 structure.

energy relative to the elements, uncorrected = -0.850 eV/atom

Cell and atoms, written as extended XYZ:
```
8
Lattice="4.304 0.000 0.000 0.000 7.484 0.149 0.000 -2.630 8.336" Properties=species:S:1:pos:R:3 pbc="T T T"
Te 2.152 3.513 6.685
Hf 2.152 3.742 0.074
K 2.152 -1.315 4.168
Te 0.000 4.847 1.797
Te 2.152 1.341 1.800
Te 0.000 0.007 6.688
K 0.000 2.427 4.242
U 0.000 0.000 0.000
```



A plane-wave DFT calculation with PBE was carried out for a geometry-optimized K3HfU2Te6 structure.

energy relative to the elements, uncorrected = -0.852 eV/atom

Cell and atoms, written as extended XYZ:
```
12
Lattice="-6.010 -4.518 0.977 5.237 0.576 5.452 -3.973 7.682 1.243" Properties=species:S:1:pos:R:3 pbc="T T T"
Te -2.784 -0.103 1.013
Te -1.962 3.843 6.659
K -6.064 0.198 2.367
U -2.253 -2.816 2.472
Te -5.524 2.229 5.241
K -2.373 1.870 3.836
U 1.480 -1.126 3.957
Hf 0.000 0.000 0.000
Te -1.418 -1.361 5.111
Te -3.329 5.100 2.561
K 1.318 3.541 5.305
Te 0.777 1.510 2.430
```



A plane-wave DFT calculation with PBE was carried out for a geometry-optimized K3HfV2Te6 structure.

energy relative to the elements, uncorrected = -0.718 eV/atom

Cell and atoms, written as extended XYZ:
```
12
Lattice="7.248 0.001 0.002 -3.621 6.279 0.002 -1.211 -2.096 8.153" Properties=species:S:1:pos:R:3 pbc="T T T"
V 3.631 2.090 0.002
K 1.208 2.092 4.079
Te 2.475 0.001 1.553
Te -1.237 2.145 1.553
K 4.859 -0.017 4.079
Te 2.387 4.133 1.546
Hf 0.000 0.000 0.000
Te 0.030 0.051 6.611
V -0.004 4.190 0.002
Te 3.653 2.039 6.604
K -2.443 4.201 4.079
Te -0.059 4.183 6.604
```



| no. | E_tot (hartree per atom) | magnetization (μB per cell) |
| --- | --- | --- |
| 1 | -0.0849 | 3.00 |
| 2 | -0.2142 | 0.00 |
| 3 | -0.1784 | 3.00 |
| 4 | -0.1959 | 1.55 |
| 5 | -0.1615 | 0.00 |
| 6 | -0.1677 | 0.00 |
| 7 | -0.1780 | 0.00 |
| 8 | -0.1966 | 3.52 |
| 9 | -0.1987 | 6.98 |
| 10 | -0.1805 | 5.00 |